VASP calculation (PBE with a Hubbard U) on an optimized crystal structure of Sm2NpCoO8.

It has space group P-1 (No. 2), with a = 4.521 Å, b = 5.206 Å, c = 7.273 Å, α = 82.58°, β = 87.03° and γ = 83.65°. Symmetry generates all atoms from Sm at (0.094, 0.019, 0.235), Np at (0.500, 0.500, 0.500), Co at (0.500, 0.500, 0.000), O at (0.129, 0.734, 0.523), O at (0.218, 0.782, 0.992), O at (0.363, 0.375, 0.241) and O at (0.380, 0.208, 0.672).

As for the uncorrected energy: -97.68 eV per cell.